No. 1
A relaxed structure of Al2ZnCr, computed with GGA-PBE.

Properties
Its symmetry is R3m. For the total energy, the calculation gives -0.3298 Ry/atom. The density of states at the Fermi level comes out at 2.76 states/eV/cell. For the formation energy, the calculation gives 0.108 eV/atom.

Geometry as POSCAR:
```
Al2ZnCr
1.0
-7.2349 5.0328 -1.1237
-6.7565 4.3497 -3.7902
-8.2128 2.6234 -2.1456
Al Zn Cr
2 1 1
Direct
0.0009 0.0009 0.0009
0.2445 0.2445 0.2445
0.7538 0.7538 0.7538
0.5008 0.5008 0.5008
```

***

No. 2
A relaxed structure of GaPI2O, computed with GGA-PBE.

Properties
Its symmetry is P4/mmm. For the total energy, the calculation gives -0.2612 Ry/atom. The value obtained for the energy relative to the lowest polymorph listed for this composition is 0.000 eV/atom. The density of states at the Fermi level comes out at 0.82 states/eV/cell. The value obtained for the formation energy (no corrections) is -0.255 eV/atom.

Geometry as POSCAR:
```
GaPI2O
1.0
5.8221 0.0000 0.0000
0.0000 5.8221 0.0000
0.0000 0.0000 3.6083
I Ga O P
2 1 1 1
Direct
0.5000 0.0000 0.0000
0.0000 0.5000 0.0000
0.5000 0.5000 0.5000
0.0000 0.0000 0.5000
0.0000 0.0000 0.0000
```

***

No. 3
A relaxed structure of LaTlSe2Br, computed with GGA-PBE.

Properties
Its symmetry is P4/mmm. For the total energy, the calculation gives -0.3095 Ry/atom. The value obtained for the energy relative to the lowest polymorph listed for this composition is 0.000 eV/atom. The density of states at the Fermi level comes out at 7.03 states/eV/cell. The value obtained for the formation energy (no corrections) is -1.024 eV/atom.

Geometry as POSCAR:
```
LaTlSe2Br
1.0
5.7576 0.0000 0.0000
0.0000 5.7576 0.0000
0.0000 0.0000 5.9400
Se La Br Tl
2 1 1 1
Direct
0.0000 0.5000 0.0000
0.5000 0.0000 0.0000
0.0000 0.0000 0.0000
0.0000 0.0000 0.5000
0.5000 0.5000 0.5000
```

***

No. 4
A relaxed structure of Pm2P4PdRh3, computed with GGA-PBE.

Properties
Its symmetry is P-4m2. For the total energy, the calculation gives -0.5077 Ry/atom. The density of states at the Fermi level comes out at 4.64 states/eV/cell. For the formation energy, the calculation gives -1.069 eV/atom.

Geometry as POSCAR:
```
Pm2P4PdRh3
1.0
-3.9748 -0.9684 0.9942
1.3095 -1.6173 3.6599
-1.0367 8.4856 4.1208
P Pd Rh Pm
4 1 3 2
Direct
0.0000 0.0000 0.0000
0.5000 0.5000 0.0000
0.5000 0.0000 0.6396
0.0000 0.5000 0.3604
0.5000 0.5000 0.5000
0.5000 0.0000 0.8896
0.0000 0.0000 0.5000
0.0000 0.5000 0.1104
0.5000 0.0000 0.2418
0.0000 0.5000 0.7582
```